Record 1
{
  "formula": "Sr2BeCo",
  "functional": "SCAN",
  "state": "PBEsol geometry",
  "lattice_angstrom": [[3.2751, 0.0000, 0.0000], [0.0000, 3.2751, 0.0000], [0.0000, 0.0000, 8.5113]],
  "species": ["Sr", "Sr", "Be", "Co"],
  "fractional_positions": [[0.0000, 0.0000, 0.0000], [0.5000, 0.5000, 0.4207], [0.0000, 0.0000, 0.6762], [0.5000, 0.5000, 0.7366]],
  "formation_energy_mev_per_atom": 430,
  "final_energy_ev_per_cell": -64.49,
  "total_magnetization_mub_per_fu": 1.246
}


Record 2
{
  "formula": "TaBe2Co2",
  "functional": "SCAN",
  "state": "PBEsol geometry",
  "lattice_angstrom": [[6.3652, 0.0000, 0.0000], [0.0000, 6.3652, 0.0000], [0.0000, 0.0000, 2.5837]],
  "species": ["Ta", "Ta", "Be", "Be", "Be", "Be", "Co", "Co", "Co", "Co"],
  "fractional_positions": [[0.0000, 0.0000, 0.0000], [0.5000, 0.5000, 0.0000], [0.1157, 0.3843, 0.0000], [0.3843, 0.8843, 0.0000], [0.6157, 0.1157, 0.0000], [0.8843, 0.6157, 0.0000], [0.1769, 0.6769, 0.5000], [0.3231, 0.1769, 0.5000], [0.6769, 0.8231, 0.5000], [0.8231, 0.3231, 0.5000]],
  "formation_energy_mev_per_atom": -164,
  "final_energy_ev_per_cell": -221.44,
  "total_magnetization_mub_per_fu": 0.000
}


Record 3
{
  "formula": "Be3CoTc",
  "functional": "SCAN",
  "state": "PBEsol geometry",
  "lattice_angstrom": [[4.0386, 0.0000, 0.0000], [0.0000, 4.0386, 0.0000], [0.0000, 0.0000, 4.0386]],
  "species": ["Be", "Be", "Be", "Co", "Tc"],
  "fractional_positions": [[0.0000, 0.0000, 0.5000], [0.0000, 0.5000, 0.0000], [0.5000, 0.0000, 0.0000], [0.5000, 0.5000, 0.5000], [0.0000, 0.0000, 0.0000]],
  "formation_energy_mev_per_atom": 1108,
  "final_energy_ev_per_cell": -59.88,
  "total_magnetization_mub_per_fu": 2.052
}


Record 4
{
  "formula": "Be2CoTc",
  "functional": "SCAN",
  "state": "PBEsol geometry",
  "lattice_angstrom": [[-2.9235, 2.9235, 2.4100], [2.9235, -2.9235, 2.4100], [2.9235, 2.9235, -2.4100]],
  "species": ["Be", "Be", "Be", "Be", "Co", "Co", "Tc", "Tc"],
  "fractional_positions": [[0.1020, 0.1250, 0.4770], [0.3750, 0.8980, 0.0230], [0.6480, 0.6250, 0.5230], [0.8750, 0.3520, 0.9770], [0.0000, 0.0000, 0.0000], [0.7500, 0.2500, 0.5000], [0.2500, 0.7500, 0.5000], [0.5000, 0.5000, 0.0000]],
  "de_polymorph_mev_per_atom": 449,
  "formation_energy_mev_per_atom": 247,
  "final_energy_ev_per_cell": -120.17,
  "total_magnetization_mub_per_fu": 0.001
}


Record 5
{
  "formula": "BeCo2Tc2",
  "functional": "SCAN",
  "state": "PBEsol geometry",
  "lattice_angstrom": [[-1.5352, 1.5352, 6.4527], [1.5352, -1.5352, 6.4527], [1.5352, 1.5352, -6.4527]],
  "species": ["Be", "Co", "Co", "Tc", "Tc"],
  "fractional_positions": [[0.0000, 0.0000, 0.0000], [0.2500, 0.7500, 0.5000], [0.7500, 0.2500, 0.5000], [0.4056, 0.4056, 0.0000], [0.5944, 0.5944, 0.0000]],
  "formation_energy_mev_per_atom": 504,
  "final_energy_ev_per_cell": -106.56,
  "total_magnetization_mub_per_fu": 2.897
}


Record 6
{
  "formula": "Be2CoTc",
  "functional": "SCAN",
  "state": "PBEsol geometry",
  "lattice_angstrom": [[2.6184, 0.0000, 0.0000], [0.0000, 2.6184, 0.0000], [0.0000, 0.0000, 5.6250]],
  "species": ["Be", "Be", "Co", "Tc"],
  "fractional_positions": [[0.0000, 0.0000, 0.2063], [0.0000, 0.0000, 0.7937], [0.5000, 0.5000, 0.0000], [0.5000, 0.5000, 0.5000]],
  "de_polymorph_mev_per_atom": 0,
  "formation_energy_mev_per_atom": -202,
  "final_energy_ev_per_cell": -61.88,
  "total_magnetization_mub_per_fu": 0.000
}